(1)
PmSmDy (PBE, optimized geometry); ΔH_f (0 K) = 4 kJ/mol of formula units; total moment = 0.000 μB per atom; offset from the most stable computed form = 0.0 meV per atom
1.0
3.610 0.000 0.000
0.000 5.093 0.000
-1.805 -2.547 5.414
Pm Sm Dy
1 1 1
direct
0.333 0.333 0.666
0.001 0.001 0.001
0.666 0.666 0.333

***

(2)
PmSm2Dy8 (PBE, optimized geometry); ΔH_f (0 K) = 120 kJ/mol of formula units; total moment = 0.000 μB per atom; offset from the most stable computed form = 0.0 meV per atom
1.0
-4.551 1.137 2.931
-4.256 0.717 -6.885
2.636 -8.725 2.257
Dy Sm Pm
8 2 1
direct
0.638 0.845 0.277
0.362 0.569 0.724
0.638 0.431 0.276
0.362 0.155 0.723
0.161 0.161 0.323
0.000 0.294 0.000
0.839 0.839 0.677
0.000 0.706 0.000
0.800 0.300 0.600
0.200 0.700 0.400
0.500 0.000 0.000

***

(3)
Pm7SmDy12 (PBE, optimized geometry); ΔH_f (0 K) = 450 kJ/mol of formula units; total moment = 0.000 μB per atom; offset from the most stable computed form = 0.0 meV per atom
1.0
8.475 1.288 1.933
-1.119 8.499 1.933
-1.119 -1.489 8.588
Dy Pm Sm
12 7 1
direct
0.852 0.255 0.726
0.274 0.148 0.745
0.745 0.274 0.148
0.133 0.496 0.619
0.148 0.745 0.274
0.726 0.852 0.255
0.504 0.381 0.867
0.496 0.619 0.133
0.867 0.504 0.381
0.381 0.867 0.504
0.255 0.726 0.852
0.619 0.133 0.496
0.155 0.398 0.076
0.602 0.924 0.845
0.845 0.602 0.924
0.076 0.155 0.398
0.924 0.845 0.602
0.500 0.500 0.500
0.398 0.076 0.155
0.000 0.000 0.000

***

(4)
Pm5Sm2Dy2 (PBE, optimized geometry); ΔH_f (0 K) = 182 kJ/mol of formula units; total moment = 0.000 μB per atom; offset from the most stable computed form = 194.5 meV per atom
1.0
-10.741 3.354 3.990
-1.811 -6.556 0.636
8.874 1.565 4.712
Sm Dy Pm
4 4 10
direct
0.745 0.845 0.500
0.500 0.538 0.000
0.000 0.038 0.000
0.255 0.345 0.500
0.869 0.429 0.747
0.131 0.682 0.253
0.622 0.182 0.253
0.378 0.929 0.747
0.807 0.761 0.103
0.376 0.028 0.287
0.988 0.154 0.500
0.203 0.158 0.897
0.797 0.261 0.103
0.193 0.658 0.897
0.624 0.741 0.713
0.589 0.241 0.713
0.411 0.528 0.287
0.012 0.654 0.500

***

(5)
Pm2Sm5Dy4 (PBE, optimized geometry); ΔH_f (0 K) = 75 kJ/mol of formula units; total moment = 0.000 μB per atom; offset from the most stable computed form = 0.0 meV per atom
1.0
-0.353 -0.005 -3.531
5.248 -10.426 -0.511
-7.957 -3.428 2.582
Sm Dy Pm
5 4 2
direct
0.500 0.000 0.000
0.824 0.932 0.648
0.904 0.464 0.809
0.096 0.536 0.191
0.176 0.068 0.352
0.967 0.742 0.934
0.640 0.797 0.280
0.033 0.258 0.066
0.360 0.203 0.720
0.716 0.351 0.432
0.284 0.649 0.568

***

(6)
PmSm2Dy2 (PBE, optimized geometry); ΔH_f (0 K) = 236 kJ/mol of formula units; total moment = 0.000 μB per atom; offset from the most stable computed form = 362.1 meV per atom
1.0
6.394 -0.828 0.000
-3.285 5.548 0.000
-1.555 -2.360 11.380
Dy Sm Pm
4 4 2
direct
0.625 0.375 0.250
0.625 0.375 0.750
0.125 0.375 0.750
0.625 0.875 0.250
0.415 0.585 0.500
0.165 0.835 0.000
0.085 0.915 0.500
0.835 0.165 0.000
0.500 0.500 0.000
0.750 0.250 0.500

***

(7)
Pm12Sm2Dy (PBE, optimized geometry); ΔH_f (0 K) = 455 kJ/mol of formula units; total moment = 0.000 μB per atom
1.0
6.548 0.000 0.000
0.000 6.548 0.000
0.000 0.000 25.424
Pm Dy Sm
24 2 4
direct
0.316 0.816 0.886
0.500 0.500 0.663
0.000 0.000 0.215
0.832 0.668 0.438
0.168 0.668 0.562
0.684 0.816 0.114
0.500 0.500 0.337
0.832 0.332 0.562
0.000 0.000 0.663
0.500 0.500 0.215
0.184 0.684 0.114
0.184 0.316 0.886
0.332 0.168 0.562
0.316 0.184 0.114
0.816 0.316 0.114
0.500 0.500 0.785
0.668 0.168 0.438
0.816 0.684 0.886
0.332 0.832 0.438
0.000 0.000 0.337
0.168 0.332 0.438
0.684 0.184 0.886
0.668 0.832 0.562
0.000 0.000 0.785
0.500 0.000 0.000
0.000 0.500 0.000
0.500 0.000 0.269
0.500 0.000 0.731
0.000 0.500 0.269
0.000 0.500 0.731

***

(8)
Pm3Sm3Dy (PBE, optimized geometry); ΔH_f (0 K) = 146 kJ/mol of formula units; total moment = 0.000 μB per atom; offset from the most stable computed form = 191.6 meV per atom
1.0
8.091 0.774 3.726
2.689 7.670 3.726
0.988 0.774 8.852
Pm Sm Dy
6 6 2
direct
0.280 0.433 0.931
0.567 0.069 0.720
0.433 0.931 0.280
0.720 0.567 0.069
0.931 0.280 0.433
0.069 0.720 0.567
0.821 0.062 0.292
0.292 0.821 0.062
0.062 0.292 0.821
0.179 0.938 0.708
0.938 0.708 0.179
0.708 0.179 0.938
0.345 0.345 0.345
0.655 0.655 0.655